Entry 1:
This record from the Alexandria database describes a geometry-optimized Zn2Ni3Au structure. The functional is PBE.

a = 2.9656 Å, b = 2.9656 Å, c = 8.7992 Å
α = 90.00°, β = 90.00°, γ = 90.00°
Last column: nearest neighbours and their distance in Å.
Space group P4/mmm (No. 123)
One atom of each set of equivalent atoms:
Zn 0.0000 0.0000 0.1588 x2  8 Ni 2.48-2.52
Ni 0.5000 0.5000 0.0000 x1  8 Zn 2.52, 2 Ni 2.73
Ni 0.5000 0.5000 0.3100 x2  4 Zn 2.48, 4 Au 2.68, 1 Ni 2.73
Au 0.0000 0.0000 0.5000 x1  8 Ni 2.68, 4 Au 2.97, 2 Zn 3.00

density of states at the Fermi level	3.127	states/eV/cell
energy relative to the elements	-0.129	eV/atom

Entry 2:
This record from the Alexandria database describes a geometry-optimized Zn3NiAu4 structure. The functional is PBE.

a = 3.2707 Å, b = 3.2707 Å, c = 11.8334 Å
α = 90.00°, β = 90.00°, γ = 90.00°
Last column: nearest neighbours and their distance in Å.
Space group P4/mmm (No. 123)
One atom of each set of equivalent atoms:
Zn 0.0000 0.0000 0.0000 x1  8 Au 2.77, 2 Zn 3.09
Zn 0.0000 0.0000 0.2612 x2  8 Au 2.71-2.80, 1 Ni 2.83
Ni 0.0000 0.0000 0.5000 x1  8 Au 2.71, 2 Zn 2.83
Au 0.5000 0.5000 0.1281 x2  8 Zn 2.77-2.80, 2 Au 2.99-3.03
Au 0.5000 0.5000 0.3807 x2  4 Ni 2.71, 4 Zn 2.71, 2 Au 2.82-2.99

density of states at the Fermi level	1.878	states/eV/cell
energy relative to the elements	-0.139	eV/atom

Entry 3:
This record from the Alexandria database describes a geometry-optimized Zn2NiAu5 structure. The functional is PBE.

a = 5.8028 Å, b = 11.5364 Å, c = 3.9025 Å
α = 90.00°, β = 90.00°, γ = 90.00°
Last column: nearest neighbours and their distance in Å.
Space group Pbam (No. 55)
One atom of each set of equivalent atoms:
Zn 0.2484 0.1190 0.0000 x4  8 Au 2.72-2.98, 2 Ni 2.79
Ni 0.0000 0.0000 0.5000 x2  8 Au 2.71-2.90, 4 Zn 2.79
Au 0.0000 0.5000 0.5000 x2  4 Zn 2.80, 6 Au 2.85-2.96, 2 Ni 2.90
Au 0.0251 0.2437 0.5000 x4  4 Zn 2.75-2.98, 1 Ni 2.82, 7 Au 2.85-2.96
Au 0.2266 0.8835 0.0000 x4  2 Ni 2.71, 2 Zn 2.72-2.76, 6 Au 2.85-2.91

density of states at the Fermi level	10.635	states/eV/cell
energy relative to the elements	-0.115	eV/atom

Entry 4:
This record from the Alexandria database describes a geometry-optimized Zn4NiAu7 structure. The functional is PBE.

a = 5.1510 Å, b = 5.5774 Å, c = 7.6849 Å
α = 74.29°, β = 70.48°, γ = 84.49°
Last column: nearest neighbours and their distance in Å.
Space group P-1 (No. 2)
One atom of each set of equivalent atoms:
Zn 0.1559 0.2293 0.2858 x2  1 Ni 2.52, 5 Au 2.67-2.77
Zn 0.3405 0.0999 0.6769 x2  7 Au 2.65-2.94
Ni 0.5000 0.5000 0.0000 x1  2 Zn 2.52, 6 Au 2.68-2.79
Au 0.0093 0.7363 0.0267 x2  1 Ni 2.71, 3 Zn 2.71-2.98, 7 Au 2.79-2.97
Au 0.1467 0.7210 0.3680 x2  5 Zn 2.67-2.97, 5 Au 2.89-2.91
Au 0.3879 0.6245 0.6699 x2  5 Zn 2.65-2.94, 1 Ni 2.68, 3 Au 2.89-2.96
Au 0.5000 0.0000 0.0000 x1  4 Zn 2.77-2.84, 2 Ni 2.79, 6 Au 2.91-2.97

density of states at the Fermi level	4.575	states/eV/cell
energy relative to the elements	-0.118	eV/atom

Entry 5:
This record from the Alexandria database describes a geometry-optimized ZnNiAu structure. The functional is PBE.

a = 8.4733 Å, b = 3.7484 Å, c = 5.6376 Å
α = 90.00°, β = 105.91°, γ = 90.00°
Last column: nearest neighbours and their distance in Å.
Space group C2/m (No. 12)
One atom of each set of equivalent atoms:
Zn 0.1697 0.0000 0.3138 x4  4 Ni 2.57-2.80, 5 Au 2.70-2.74, 2 Zn 2.86
Ni 0.1734 0.0000 0.8355 x4  4 Zn 2.57-2.80, 5 Au 2.67-2.78, 2 Ni 2.71
Au 0.0000 0.5000 0.0000 x2  6 Ni 2.67-2.70, 4 Zn 2.70, 2 Au 2.82
Au 0.0000 0.5000 0.5000 x2  6 Zn 2.71-2.74, 4 Ni 2.78, 2 Au 2.82

polymorph energy (0 for the lowest one)	0.019	eV/atom
density of states at the Fermi level	4.609	states/eV/cell
energy relative to the elements	-0.129	eV/atom

Entry 6:
This record from the Alexandria database describes a geometry-optimized ZnNiAu3 structure. The functional is PBE.

a = 4.1574 Å, b = 18.4768 Å, c = 4.1310 Å
α = 90.00°, β = 90.00°, γ = 90.00°
Last column: nearest neighbours and their distance in Å.
Space group Cmcm (No. 63)
One atom of each set of equivalent atoms:
Zn 0.0000 0.1535 0.2500 x4  8 Au 2.70-2.74, 4 Ni 2.93
Ni 0.0000 0.3461 0.2500 x4  8 Au 2.71-2.74, 4 Zn 2.93
Au 0.0000 0.0594 0.7500 x4  2 Zn 2.70, 2 Ni 2.71, 8 Au 2.93-3.01
Au 0.0000 0.2503 0.7500 x4  4 Ni 2.72-2.74, 4 Zn 2.73-2.74, 4 Au 2.93
Au 0.0000 0.4423 0.7500 x4  2 Ni 2.73, 2 Zn 2.73, 8 Au 2.93-3.00

polymorph energy (0 for the lowest one)	0.000	eV/atom
density of states at the Fermi level	10.022	states/eV/cell
energy relative to the elements	-0.079	eV/atom

Entry 7:
This record from the Alexandria database describes a geometry-optimized ZnNiAu4 structure. The functional is PBE.

a = 7.4070 Å, b = 4.2531 Å, c = 7.4744 Å
α = 90.00°, β = 109.68°, γ = 90.00°
Last column: nearest neighbours and their distance in Å.
Space group C2/m (No. 12)
One atom of each set of equivalent atoms:
Zn 0.0000 0.0000 0.0000 x2  8 Au 2.63-2.68
Ni 0.0000 0.5000 0.5000 x2  8 Au 2.58-2.60
Au 0.1221 0.5000 0.8666 x4  1 Ni 2.58, 3 Zn 2.63-2.64
Au 0.1268 0.0000 0.3804 x4  3 Ni 2.60, 1 Zn 2.68

polymorph energy (0 for the lowest one)	0.000	eV/atom
density of states at the Fermi level	5.670	states/eV/cell
energy relative to the elements	0.073	eV/atom

Entry 8:
This record from the Alexandria database describes a geometry-optimized Zn2NiAu structure. The functional is PBE.

a = 5.4852 Å, b = 7.1883 Å, c = 2.9092 Å
α = 90.00°, β = 90.00°, γ = 90.00°
Last column: nearest neighbours and their distance in Å.
Space group Cmmm (No. 65)
One atom of each set of equivalent atoms:
Zn 0.2500 0.2500 0.0000 x4  4 Ni 2.69, 4 Au 2.69, 4 Zn 2.74-2.91
Ni 0.0000 0.0000 0.5000 x2  8 Zn 2.69, 2 Au 2.74, 2 Ni 2.91
Au 0.0000 0.5000 0.5000 x2  8 Zn 2.69, 2 Ni 2.74, 2 Au 2.91

density of states at the Fermi level	2.027	states/eV/cell
energy relative to the elements	-0.158	eV/atom

Entry 9:
This record from the Alexandria database describes a geometry-optimized Zr2NiAu structure. The functional is PBE.

a = 3.7971 Å, b = 4.3897 Å, c = 4.4297 Å
α = 90.00°, β = 90.00°, γ = 90.00°
Last column: nearest neighbours and their distance in Å.
Space group Pmmm (No. 47)
One atom of each set of equivalent atoms:
Zr 0.0000 0.0000 0.0000 x1  4 Au 2.90, 4 Ni 2.92, 4 Zr 3.12
Zr 0.0000 0.5000 0.5000 x1  4 Ni 2.90, 4 Au 2.92, 4 Zr 3.12
Ni 0.5000 0.0000 0.5000 x1  8 Zr 2.90-2.92, 4 Au 3.12
Au 0.5000 0.5000 0.0000 x1  8 Zr 2.90-2.92, 4 Ni 3.12

density of states at the Fermi level	4.940	states/eV/cell
energy relative to the elements	-0.340	eV/atom

Entry 10:
This record from the Alexandria database describes a geometry-optimized Zr2NiAu structure. The functional is PBE.

a = 3.2388 Å, b = 3.2388 Å, c = 25.6738 Å
α = 90.00°, β = 90.00°, γ = 120.00°
Last column: nearest neighbours and their distance in Å.
Space group R3m (No. 160, hexagonal axes)
One atom of each set of equivalent atoms:
Zr 0.0000 0.0000 0.0000 x3  3 Au 2.93, 9 Zr 3.16-3.24
Zr 0.0000 0.0000 0.2340 x3  3 Ni 2.61
Ni 0.0000 0.0000 0.4965 x3  3 Zr 2.61, 3 Au 2.69
Au 0.0000 0.0000 0.7544 x3  3 Ni 2.69, 3 Zr 2.93

density of states at the Fermi level	8.251	states/eV/cell
energy relative to the elements	-0.078	eV/atom

Entry 11:
This record from the Alexandria database describes a geometry-optimized ZrNi6Au2 structure. The functional is PBE.

a = 8.0694 Å, b = 8.0694 Å, c = 8.0694 Å
α = 90.00°, β = 90.00°, γ = 90.00°
Last column: nearest neighbours and their distance in Å.
Space group Fm-3m (No. 225)
One atom of each set of equivalent atoms:
Zr 0.0000 0.0000 0.0000 x4  6 Ni 2.35
Ni 0.0000 0.0000 0.2907 x24  1 Zr 2.35, 4 Ni 2.39
Au 0.2500 0.2500 0.2500 x8  12 Ni 2.87

density of states at the Fermi level	19.127	states/eV/cell
energy relative to the elements	0.294	eV/atom

Entry 12:
This record from the Alexandria database describes a geometry-optimized ZrNi8Au3 structure. The functional is PBE.

a = 4.8470 Å, b = 4.8470 Å, c = 23.6079 Å
α = 90.00°, β = 90.00°, γ = 120.00°
Last column: nearest neighbours and their distance in Å.
Space group R3m (No. 160, hexagonal axes)
One atom of each set of equivalent atoms:
Zr 0.0000 0.0000 0.0000 x3  12 Ni 2.82-2.84, 4 Au 2.95-2.96
Ni 0.0000 0.0000 0.3127 x3  6 Ni 2.41-2.42
Ni 0.0000 0.0000 0.8129 x3  6 Ni 2.42
Ni 0.9998 0.4999 0.0629 x9  6 Ni 2.42-2.43
Ni 0.0000 0.5000 0.5631 x9  6 Ni 2.41-2.42
Au 0.0000 0.0000 0.1251 x3  12 Ni 2.83-2.84, 1 Zr 2.95, 3 Au 2.96
Au 0.0000 0.0000 0.4998 x3  12 Ni 2.82-2.85, 4 Au 2.96-2.98
Au 0.0000 0.0000 0.6260 x3  12 Ni 2.82-2.84, 3 Zr 2.96, 1 Au 2.98

density of states at the Fermi level	38.909	states/eV/cell
energy relative to the elements	-0.139	eV/atom

The records above yield total magnetic moment values of 0.0000; 0.0000; 0.0000; 0.0000; 0.0000; 0.0000; 0.0000; 0.0000; 0.0000; 0.0000; 0.0000; 0.1677 μB per atom, respectively.